Record 1
Ac3Zn2BiPd9 | GGA-PBE | optimized geometry

```
data_Ac3Zn2BiPd9
_chemical_formula_sum 'Ac3 Zn2 Bi1 Pd9'
_cell_length_a 5.8895
_cell_length_b 5.8895
_cell_length_c 11.8606
_cell_angle_alpha 90.00
_cell_angle_beta 90.00
_cell_angle_gamma 120.00
_space_group_name_H-M_alt 'P 1'
_space_group_IT_number 1
loop_
_space_group_symop_operation_xyz
'x,y,z'
loop_
_atom_site_label
_atom_site_fract_x
_atom_site_fract_y
_atom_site_fract_z
_atom_site_occupancy
Ac1 0.3333 0.6667 0.7466 1
Ac2 0.0000 0.0000 0.0000 1
Ac3 0.6667 0.3333 0.2534 1
Zn1 0.3333 0.6667 0.1599 1
Zn2 0.6667 0.3333 0.8401 1
Bi1 0.0000 0.0000 0.5000 1
Pd1 0.8318 0.1682 0.6805 1
Pd2 0.8318 0.6637 0.6805 1
Pd3 0.3363 0.1682 0.6805 1
Pd4 0.6637 0.8318 0.3195 1
Pd5 0.1682 0.3363 0.3195 1
Pd6 0.1682 0.8318 0.3195 1
Pd7 0.5000 0.0000 0.0000 1
Pd8 0.0000 0.5000 0.0000 1
Pd9 0.5000 0.5000 0.0000 1
```

DOS at the Fermi energy = 0.441 states/eV/atom
Space group = No. 164
Formation energy from the elements = -0.54 eV/atom

---

Record 2
Sr2TlGa2 | GGA-PBE | optimized geometry

```
data_Sr2TlGa2
_chemical_formula_sum 'Sr4 Tl2 Ga4'
_cell_length_a 8.4246
_cell_length_b 8.4246
_cell_length_c 4.2604
_cell_angle_alpha 90.00
_cell_angle_beta 90.00
_cell_angle_gamma 90.00
_space_group_name_H-M_alt 'P 1'
_space_group_IT_number 1
loop_
_space_group_symop_operation_xyz
'x,y,z'
loop_
_atom_site_label
_atom_site_fract_x
_atom_site_fract_y
_atom_site_fract_z
_atom_site_occupancy
Sr1 0.1850 0.6850 0.5000 1
Sr2 0.6850 0.8150 0.5000 1
Sr3 0.8150 0.3150 0.5000 1
Sr4 0.3150 0.1850 0.5000 1
Tl1 0.0000 0.0000 0.0000 1
Tl2 0.5000 0.5000 0.0000 1
Ga1 0.3909 0.8909 0.0000 1
Ga2 0.8909 0.6091 0.0000 1
Ga3 0.6091 0.1091 0.0000 1
Ga4 0.1091 0.3909 0.0000 1
```

DOS at the Fermi energy = 0.817 states/eV/atom
Space group = No. 127
Formation energy from the elements = -0.34 eV/atom

---

Record 3
Ba4Co5 | GGA-PBE | optimized geometry

```
data_Ba4Co5
_chemical_formula_sum 'Ba8 Co10'
_cell_length_a 9.3435
_cell_length_b 9.3435
_cell_length_c 6.4023
_cell_angle_alpha 90.00
_cell_angle_beta 90.00
_cell_angle_gamma 120.00
_space_group_name_H-M_alt 'P 1'
_space_group_IT_number 1
loop_
_space_group_symop_operation_xyz
'x,y,z'
loop_
_atom_site_label
_atom_site_fract_x
_atom_site_fract_y
_atom_site_fract_z
_atom_site_occupancy
Co1 0.0000 0.6932 0.2500 1
Co2 0.3068 0.3068 0.2500 1
Co3 0.6932 0.0000 0.2500 1
Co4 0.0000 0.3068 0.7500 1
Co5 0.6932 0.6932 0.7500 1
Co6 0.3068 0.0000 0.7500 1
Co7 0.6667 0.3333 0.0000 1
Co8 0.3333 0.6667 0.5000 1
Co9 0.3333 0.6667 0.0000 1
Co10 0.6667 0.3333 0.5000 1
Ba1 0.0000 0.0000 0.0000 1
Ba2 0.0000 0.0000 0.5000 1
Ba3 0.0000 0.3789 0.2500 1
Ba4 0.6211 0.6211 0.2500 1
Ba5 0.3789 0.0000 0.2500 1
Ba6 0.0000 0.6211 0.7500 1
Ba7 0.3789 0.3789 0.7500 1
Ba8 0.6211 0.0000 0.7500 1
```

DOS at the Fermi energy = 1.928 states/eV/atom
Space group = No. 193
Formation energy from the elements = 1.00 eV/atom

---

Record 4
IrAuBr2 | GGA-PBE | optimized geometry

```
data_IrAuBr2
_chemical_formula_sum 'Ir1 Au1 Br2'
_cell_length_a 3.6532
_cell_length_b 3.6447
_cell_length_c 7.3273
_cell_angle_alpha 90.00
_cell_angle_beta 90.00
_cell_angle_gamma 90.00
_space_group_name_H-M_alt 'P 1'
_space_group_IT_number 1
loop_
_space_group_symop_operation_xyz
'x,y,z'
loop_
_atom_site_label
_atom_site_fract_x
_atom_site_fract_y
_atom_site_fract_z
_atom_site_occupancy
Ir1 0.0000 0.0000 0.5843 1
Au1 0.5000 0.5000 0.6809 1
Br1 0.0000 0.0000 0.9199 1
Br2 0.5000 0.5000 0.3150 1
```

ΔE_f (raw) = 639.8 meV/atom
DOS at the Fermi energy = 0.994 states/eV/atom
Space group = No. 99

---

Record 5
TbGe2Os | GGA-PBE | optimized geometry

```
data_TbGe2Os
_chemical_formula_sum 'Tb1 Ge2 Os1'
_cell_length_a 4.2153
_cell_length_b 4.2153
_cell_length_c 5.4612
_cell_angle_alpha 67.30
_cell_angle_beta 67.30
_cell_angle_gamma 60.00
_space_group_name_H-M_alt 'P 1'
_space_group_IT_number 1
loop_
_space_group_symop_operation_xyz
'x,y,z'
loop_
_atom_site_label
_atom_site_fract_x
_atom_site_fract_y
_atom_site_fract_z
_atom_site_occupancy
Tb1 0.0000 0.0000 0.0000 1
Ge1 0.7785 0.7785 0.6644 1
Ge2 0.2215 0.2215 0.3356 1
Os1 0.5000 0.5000 0.5000 1
```

DOS at the Fermi energy = 0.485 states/eV/atom
Space group = No. 166
Formation energy from the elements = -0.45 eV/atom

---

Record 6
MgTcIr2 | GGA-PBE | optimized geometry

```
data_MgTcIr2
_chemical_formula_sum 'Mg1 Tc1 Ir2'
_cell_length_a 2.7557
_cell_length_b 2.7557
_cell_length_c 8.0299
_cell_angle_alpha 90.00
_cell_angle_beta 90.00
_cell_angle_gamma 90.00
_space_group_name_H-M_alt 'P 1'
_space_group_IT_number 1
loop_
_space_group_symop_operation_xyz
'x,y,z'
loop_
_atom_site_label
_atom_site_fract_x
_atom_site_fract_y
_atom_site_fract_z
_atom_site_occupancy
Ir1 0.0000 0.0000 0.9987 1
Ir2 0.5000 0.5000 0.2410 1
Mg1 0.0000 0.0000 0.4914 1
Tc1 0.5000 0.5000 0.7688 1
```

DOS at the Fermi energy = 1.093 states/eV/atom
Space group = No. 99
Formation energy from the elements = -0.01 eV/atom

---

Record 7
Ce8GaRh2 | GGA-PBE | optimized geometry

```
data_Ce8GaRh2
_chemical_formula_sum 'Ce8 Ga1 Rh2'
_cell_length_a 7.1800
_cell_length_b 6.4772
_cell_length_c 6.4772
_cell_angle_alpha 88.53
_cell_angle_beta 106.12
_cell_angle_gamma 106.12
_space_group_name_H-M_alt 'P 1'
_space_group_IT_number 1
loop_
_space_group_symop_operation_xyz
'x,y,z'
loop_
_atom_site_label
_atom_site_fract_x
_atom_site_fract_y
_atom_site_fract_z
_atom_site_occupancy
Ce1 0.2894 0.3564 0.7869 1
Ce2 0.7106 0.2131 0.6436 1
Ce3 0.1739 0.7475 0.7475 1
Ce4 0.8261 0.2525 0.2525 1
Ce5 0.2894 0.7869 0.3564 1
Ce6 0.7106 0.6436 0.2131 1
Ce7 0.7516 0.6451 0.6451 1
Ce8 0.2484 0.3549 0.3549 1
Ga1 0.0000 0.0000 0.0000 1
Rh1 0.5930 0.8888 0.8888 1
Rh2 0.4070 0.1112 0.1112 1
```

DOS at the Fermi energy = 2.355 states/eV/atom
Space group = No. 12
Formation energy from the elements = -0.24 eV/atom

---

Record 8
Nb2ZnRu4 | GGA-PBE | optimized geometry

```
data_Nb2ZnRu4
_chemical_formula_sum 'Nb2 Zn1 Ru4'
_cell_length_a 3.6785
_cell_length_b 3.6785
_cell_length_c 9.0222
_cell_angle_alpha 101.76
_cell_angle_beta 101.76
_cell_angle_gamma 90.00
_space_group_name_H-M_alt 'P 1'
_space_group_IT_number 1
loop_
_space_group_symop_operation_xyz
'x,y,z'
loop_
_atom_site_label
_atom_site_fract_x
_atom_site_fract_y
_atom_site_fract_z
_atom_site_occupancy
Nb1 0.6050 0.6050 0.2099 1
Nb2 0.3950 0.3950 0.7901 1
Zn1 0.0000 0.0000 0.0000 1
Ru1 0.1426 0.1426 0.2851 1
Ru2 0.8574 0.8574 0.7149 1
Ru3 0.7500 0.2500 0.5000 1
Ru4 0.2500 0.7500 0.5000 1
```

DOS at the Fermi energy = 1.272 states/eV/atom
Space group = No. 139
Formation energy from the elements = 0.22 eV/atom

---

Record 9
Na2Er2F7 | GGA-PBE | optimized geometry

```
data_Na2Er2F7
_chemical_formula_sum 'Na2 Er2 F7'
_cell_length_a 5.4829
_cell_length_b 5.7491
_cell_length_c 5.4829
_cell_angle_alpha 90.03
_cell_angle_beta 94.64
_cell_angle_gamma 89.97
_space_group_name_H-M_alt 'P 1'
_space_group_IT_number 1
loop_
_space_group_symop_operation_xyz
'x,y,z'
loop_
_atom_site_label
_atom_site_fract_x
_atom_site_fract_y
_atom_site_fract_z
_atom_site_occupancy
Na1 0.7444 0.5000 0.7444 1
Na2 0.2556 0.5000 0.2556 1
Er1 0.7302 0.0000 0.2698 1
Er2 0.2698 0.0000 0.7302 1
F1 0.9998 0.2225 0.5001 1
F2 0.5001 0.7775 0.9998 1
F3 0.0002 0.7775 0.4999 1
F4 0.4999 0.2225 0.0002 1
F5 0.0000 0.0000 0.0000 1
F6 0.5001 0.7779 0.4999 1
F7 0.4999 0.2221 0.5001 1
```

ΔE_f (raw) = -3460.2 meV/atom
DOS at the Fermi energy = 0.139 states/eV/atom
Space group = No. 65

---

Record 10
CsLi3Cl | GGA-PBE | optimized geometry

```
data_CsLi3Cl
_chemical_formula_sum 'Cs1 Li3 Cl1'
_cell_length_a 5.5953
_cell_length_b 5.5953
_cell_length_c 5.5953
_cell_angle_alpha 90.00
_cell_angle_beta 90.00
_cell_angle_gamma 90.00
_space_group_name_H-M_alt 'P 1'
_space_group_IT_number 1
loop_
_space_group_symop_operation_xyz
'x,y,z'
loop_
_atom_site_label
_atom_site_fract_x
_atom_site_fract_y
_atom_site_fract_z
_atom_site_occupancy
Cs1 0.5000 0.5000 0.5000 1
Li1 0.0000 0.5000 0.0000 1
Li2 0.0000 0.0000 0.5000 1
Li3 0.5000 0.0000 0.0000 1
Cl1 0.0000 0.0000 0.0000 1
```

ΔE_f (raw) = -290.4 meV/atom
DOS at the Fermi energy = 0.569 states/eV/atom
Space group = No. 221

---

Record 11
Cs3Na2Bi4 | GGA-PBE | optimized geometry

```
data_Cs3Na2Bi4
_chemical_formula_sum 'Cs3 Na2 Bi4'
_cell_length_a 7.6038
_cell_length_b 7.6038
_cell_length_c 12.0577
_cell_angle_alpha 61.19
_cell_angle_beta 61.19
_cell_angle_gamma 43.61
_space_group_name_H-M_alt 'P 1'
_space_group_IT_number 1
loop_
_space_group_symop_operation_xyz
'x,y,z'
loop_
_atom_site_label
_atom_site_fract_x
_atom_site_fract_y
_atom_site_fract_z
_atom_site_occupancy
Cs1 0.2978 0.2978 0.6163 1
Cs2 0.0000 0.0000 0.0000 1
Cs3 0.7022 0.7022 0.3837 1
Na1 0.5385 0.5385 0.2178 1
Na2 0.4615 0.4615 0.7822 1
Bi1 0.2459 0.2459 0.0729 1
Bi2 0.7541 0.7541 0.9271 1
Bi3 0.9804 0.9804 0.6492 1
Bi4 0.0196 0.0196 0.3508 1
```

DOS at the Fermi energy = 0.324 states/eV/atom
Space group = No. 12
Formation energy from the elements = -0.31 eV/atom

---

Record 12
ThTi2As4 | GGA-PBE | optimized geometry

```
data_ThTi2As4
_chemical_formula_sum 'Th2 Ti4 As8'
_cell_length_a 3.8848
_cell_length_b 6.3813
_cell_length_c 12.4868
_cell_angle_alpha 90.00
_cell_angle_beta 90.00
_cell_angle_gamma 107.72
_space_group_name_H-M_alt 'P 1'
_space_group_IT_number 1
loop_
_space_group_symop_operation_xyz
'x,y,z'
loop_
_atom_site_label
_atom_site_fract_x
_atom_site_fract_y
_atom_site_fract_z
_atom_site_occupancy
Th1 0.6129 0.2257 0.7500 1
Th2 0.3871 0.7743 0.2500 1
Ti1 0.1301 0.2602 0.4429 1
Ti2 0.8699 0.7398 0.9429 1
Ti3 0.1301 0.2602 0.0571 1
Ti4 0.8699 0.7398 0.5571 1
As1 0.7593 0.5185 0.1194 1
As2 0.7593 0.5185 0.3806 1
As3 0.2407 0.4815 0.8806 1
As4 0.2407 0.4815 0.6194 1
As5 0.9294 0.8587 0.7500 1
As6 0.0706 0.1413 0.2500 1
As7 0.5000 0.0000 0.0000 1
As8 0.5000 0.0000 0.5000 1
```

DOS at the Fermi energy = 0.294 states/eV/atom
Space group = No. 63
Formation energy from the elements = -0.87 eV/atom

---

Record 13
CaLa3Tc | GGA-PBE | optimized geometry

```
data_CaLa3Tc
_chemical_formula_sum 'Ca2 La6 Tc2'
_cell_length_a 7.7345
_cell_length_b 7.8827
_cell_length_c 7.0891
_cell_angle_alpha 70.72
_cell_angle_beta 90.07
_cell_angle_gamma 117.22
_space_group_name_H-M_alt 'P 1'
_space_group_IT_number 1
loop_
_space_group_symop_operation_xyz
'x,y,z'
loop_
_atom_site_label
_atom_site_fract_x
_atom_site_fract_y
_atom_site_fract_z
_atom_site_occupancy
Ca1 0.9535 0.8952 0.9254 1
Ca2 0.4476 0.9142 0.9469 1
Tc1 0.2633 0.6621 0.6877 1
Tc2 0.8392 0.6257 0.6594 1
La1 0.6652 0.4218 0.4481 1
La2 0.4463 0.4308 0.9271 1
La3 0.6695 0.8999 0.4627 1
La4 0.1857 0.9537 0.4125 1
La5 0.1499 0.4429 0.4720 1
La6 0.9285 0.3818 0.9790 1
```

DOS at the Fermi energy = 0.991 states/eV/atom
Space group = No. 1
Formation energy from the elements = 0.01 eV/atom

---

Record 14
Tb2Ga4Ge2Pt | GGA-PBE | optimized geometry

```
data_Tb2Ga4Ge2Pt
_chemical_formula_sum 'Tb2 Ga4 Ge2 Pt1'
_cell_length_a 6.3947
_cell_length_b 6.3947
_cell_length_c 6.3947
_cell_angle_alpha 85.39
_cell_angle_beta 122.70
_cell_angle_gamma 122.70
_space_group_name_H-M_alt 'P 1'
_space_group_IT_number 1
loop_
_space_group_symop_operation_xyz
'x,y,z'
loop_
_atom_site_label
_atom_site_fract_x
_atom_site_fract_y
_atom_site_fract_z
_atom_site_occupancy
Tb1 0.5000 0.7500 0.2500 1
Tb2 0.5000 0.2500 0.7500 1
Ga1 0.0000 0.7119 0.2881 1
Ga2 0.4238 0.7119 0.7119 1
Ga3 0.0000 0.2881 0.7119 1
Ga4 0.5762 0.2881 0.2881 1
Ge1 0.0000 0.7245 0.7245 1
Ge2 0.0000 0.2755 0.2755 1
Pt1 0.0000 0.0000 0.0000 1
```

DOS at the Fermi energy = 0.369 states/eV/atom
Space group = No. 139
Formation energy from the elements = -0.55 eV/atom

---

Record 15
MnTeRh2 | GGA-PBE | optimized geometry

```
data_MnTeRh2
_chemical_formula_sum 'Mn1 Te1 Rh2'
_cell_length_a 8.2497
_cell_length_b 8.2497
_cell_length_c 8.2497
_cell_angle_alpha 21.85
_cell_angle_beta 21.85
_cell_angle_gamma 21.85
_space_group_name_H-M_alt 'P 1'
_space_group_IT_number 1
loop_
_space_group_symop_operation_xyz
'x,y,z'
loop_
_atom_site_label
_atom_site_fract_x
_atom_site_fract_y
_atom_site_fract_z
_atom_site_occupancy
Mn1 0.7500 0.7500 0.7500 1
Rh1 0.0017 0.0017 0.0017 1
Rh2 0.4983 0.4983 0.4983 1
Te1 0.2500 0.2500 0.2500 1
```

ΔE_f (raw) = 128.4 meV/atom
DOS at the Fermi energy = 0.718 states/eV/atom
Space group = No. 166

---

Record 16
TmNiBi2 | GGA-PBE | optimized geometry

```
data_TmNiBi2
_chemical_formula_sum 'Tm1 Ni1 Bi2'
_cell_length_a 3.5458
_cell_length_b 3.5458
_cell_length_c 10.0645
_cell_angle_alpha 79.85
_cell_angle_beta 79.85
_cell_angle_gamma 60.00
_space_group_name_H-M_alt 'P 1'
_space_group_IT_number 1
loop_
_space_group_symop_operation_xyz
'x,y,z'
loop_
_atom_site_label
_atom_site_fract_x
_atom_site_fract_y
_atom_site_fract_z
_atom_site_occupancy
Ni1 0.5000 0.5000 0.5000 1
Tm1 0.0000 0.0000 0.0000 1
Bi1 0.1066 0.1066 0.6801 1
Bi2 0.8934 0.8934 0.3199 1
```

DOS at the Fermi energy = 0.855 states/eV/atom
Space group = No. 166
Formation energy from the elements = 0.11 eV/atom

---

Record 17
Mg4CuIr | GGA-PBE | optimized geometry

```
data_Mg4CuIr
_chemical_formula_sum 'Mg4 Cu1 Ir1'
_cell_length_a 4.4304
_cell_length_b 4.4314
_cell_length_c 6.2837
_cell_angle_alpha 89.99
_cell_angle_beta 89.99
_cell_angle_gamma 89.99
_space_group_name_H-M_alt 'P 1'
_space_group_IT_number 1
loop_
_space_group_symop_operation_xyz
'x,y,z'
loop_
_atom_site_label
_atom_site_fract_x
_atom_site_fract_y
_atom_site_fract_z
_atom_site_occupancy
Mg1 0.5013 0.9971 0.2369 1
Mg2 0.5012 0.9974 0.7594 1
Mg3 0.0013 0.4974 0.7593 1
Mg4 0.0013 0.4972 0.2370 1
Cu1 0.0012 0.9974 0.4980 1
Ir1 0.5014 0.4972 0.9982 1
```

DOS at the Fermi energy = 0.453 states/eV/atom
Space group = No. 123
Formation energy from the elements = -0.06 eV/atom

---

Number 1: magnetization 0.00 μB/cell. Number 2: magnetization 0.00 μB/cell. Number 3: magnetization 13.14 μB/cell. Number 4: magnetization 0.00 μB/cell. Number 5: magnetization 0.00 μB/cell. Number 6: magnetization 0.00 μB/cell. Number 7: magnetization 0.00 μB/cell. Number 8: magnetization 0.00 μB/cell. Number 9: magnetization 0.53 μB/cell. Number 10: magnetization 0.00 μB/cell. Number 11: magnetization 0.00 μB/cell. Number 12: magnetization 0.00 μB/cell. Number 13: magnetization 0.00 μB/cell. Number 14: magnetization 0.00 μB/cell. Number 15: magnetization 4.38 μB/cell. Number 16: magnetization 0.00 μB/cell. Number 17: magnetization 0.00 μB/cell.